BaCaMnO3 (PBE+U, optimized geometry); SG = Cmcm
1.0
1.801 -6.063 0.000
1.801 6.063 0.000
0.000 0.000 9.593
Ba Ca Mn O
2 2 2 6
direct
0.242 0.758 0.750
0.758 0.242 0.250
0.000 0.000 0.000
0.000 0.000 0.500
0.490 0.510 0.250
0.510 0.490 0.750
0.077 0.923 0.250
0.386 0.614 0.086
0.386 0.614 0.414
0.614 0.386 0.586
0.614 0.386 0.914
0.923 0.077 0.750

---

Ba7Ca2Mn5O20 (PBE+U, optimized geometry); SG = R-3m
1.0
2.953 1.705 17.415
-2.953 1.705 17.415
0.000 -3.409 17.415
Ba Ca Mn O
7 2 5 20
direct
0.000 0.000 0.000
0.145 0.145 0.145
0.227 0.227 0.227
0.388 0.388 0.388
0.612 0.612 0.612
0.773 0.773 0.773
0.855 0.855 0.855
0.075 0.075 0.075
0.925 0.925 0.925
0.303 0.303 0.303
0.451 0.451 0.451
0.500 0.500 0.500
0.549 0.549 0.549
0.697 0.697 0.697
0.133 0.133 0.608
0.133 0.608 0.133
0.183 0.623 0.623
0.262 0.723 0.723
0.277 0.277 0.738
0.277 0.738 0.277
0.335 0.335 0.335
0.377 0.377 0.817
0.377 0.817 0.377
0.392 0.867 0.867
0.608 0.133 0.133
0.623 0.183 0.623
0.623 0.623 0.183
0.665 0.665 0.665
0.723 0.262 0.723
0.723 0.723 0.262
0.738 0.277 0.277
0.817 0.377 0.377
0.867 0.392 0.867
0.867 0.867 0.392

---

Ba2Ca2Mn3Tl2O10 (PBE+U, optimized geometry); SG = P1
1.0
3.981 0.000 0.000
0.000 4.028 0.000
-1.987 -1.949 18.339
Ba Ca Mn Tl O
2 2 3 2 10
direct
0.000 0.000 0.000
0.290 0.285 0.584
0.097 0.097 0.196
0.189 0.186 0.383
0.550 0.551 0.100
0.643 0.641 0.289
0.735 0.731 0.475
0.429 0.375 0.858
0.865 0.848 0.730
0.059 0.557 0.118
0.142 0.640 0.286
0.226 0.721 0.456
0.374 0.490 0.747
0.490 0.509 0.980
0.557 0.058 0.116
0.642 0.140 0.286
0.726 0.222 0.458
0.790 0.783 0.585
0.931 0.089 0.861

---

BaCaMnWO6 (PBE+U, optimized geometry); SG = F-43m
1.0
0.000 4.105 4.105
4.105 0.000 4.105
4.105 4.105 0.000
Ba Ca Mn W O
1 1 1 1 6
direct
0.000 0.000 0.000
0.500 0.500 0.500
0.250 0.250 0.250
0.750 0.750 0.750
0.512 0.512 0.988
0.512 0.988 0.512
0.512 0.988 0.988
0.988 0.512 0.512
0.988 0.512 0.988
0.988 0.988 0.512

---

| no. | calculated total energy (eV/atom) |
| --- | --- |
| 1 | -6.6178 |
| 2 | -6.7152 |
| 3 | -6.3100 |
| 4 | -7.2203 |